Material: MnCrIn2
Method: DFT, PBE
State: relaxed

```
data_MnCrIn2
_chemical_formula_sum 'Mn1 Cr1 In2'
_cell_length_a 3.922
_cell_length_b 3.044
_cell_length_c 6.787
_cell_angle_alpha 63.21
_cell_angle_beta 90.00
_cell_angle_gamma 90.00
_space_group_name_H-M_alt 'P 1'
_space_group_IT_number 1
_space_group_name_Hall 'P 1'
loop_
_atom_site_label
_atom_site_type_symbol
_atom_site_fract_x
_atom_site_fract_y
_atom_site_fract_z
In1 In 0.000 0.502 0.498
In2 In 0.000 0.998 0.002
Cr1 Cr 0.500 0.750 0.750
Mn1 Mn 0.500 0.250 0.250
```

Values from the calculation:
DFT formation energy: 0.316 eV per atom
offset from the most stable computed form: 0.32 eV per formula unit
density of states at the Fermi level: 2.4 states/eV per cell